! Nd12Ga3As5 PBE relaxed; values from VASP
&SYSTEM
  ibrav = 0, nat = 80, ntyp = 3
/
ATOMIC_SPECIES
Nd 144.24 Nd.upf
Ga 69.72 Ga.upf
As 74.92 As.upf
CELL_PARAMETERS angstrom
-8.7653 8.7653 8.7653
8.7653 -8.7653 8.7653
8.7653 8.7653 -8.7653
ATOMIC_POSITIONS crystal
Nd 0.0490 0.2209 0.1317
Nd 0.0490 0.3281 0.9173
Nd 0.0827 0.6317 0.4108
Nd 0.0827 0.9510 0.6719
Nd 0.0892 0.7209 0.6719
Nd 0.0892 0.8683 0.4173
Nd 0.1317 0.0490 0.2209
Nd 0.1317 0.5827 0.9108
Nd 0.1719 0.2209 0.5892
Nd 0.1719 0.4510 0.5827
Nd 0.2209 0.1317 0.0490
Nd 0.2209 0.5892 0.1719
Nd 0.2791 0.3281 0.9108
Nd 0.2791 0.4510 0.3683
Nd 0.3281 0.9108 0.2791
Nd 0.3281 0.9173 0.0490
Nd 0.3683 0.2791 0.4510
Nd 0.3683 0.5892 0.9173
Nd 0.4108 0.0827 0.6317
Nd 0.4108 0.8281 0.7791
Nd 0.4173 0.0892 0.8683
Nd 0.4173 0.8281 0.5490
Nd 0.4510 0.3683 0.2791
Nd 0.4510 0.5827 0.1719
Nd 0.5490 0.4173 0.8281
Nd 0.5490 0.6317 0.7209
Nd 0.5827 0.1719 0.4510
Nd 0.5827 0.9108 0.1317
Nd 0.5892 0.1719 0.2209
Nd 0.5892 0.9173 0.3683
Nd 0.6317 0.4108 0.0827
Nd 0.6317 0.7209 0.5490
Nd 0.6719 0.0827 0.9510
Nd 0.6719 0.0892 0.7209
Nd 0.7209 0.5490 0.6317
Nd 0.7209 0.6719 0.0892
Nd 0.7791 0.4108 0.8281
Nd 0.7791 0.8683 0.9510
Nd 0.8281 0.5490 0.4173
Nd 0.8281 0.7791 0.4108
Nd 0.8683 0.4173 0.0892
Nd 0.8683 0.9510 0.7791
Nd 0.9108 0.1317 0.5827
Nd 0.9108 0.2791 0.3281
Nd 0.9173 0.0490 0.3281
Nd 0.9173 0.3683 0.5892
Nd 0.9510 0.6719 0.0827
Nd 0.9510 0.7791 0.8683
Ga 0.1250 0.2500 0.3750
Ga 0.1250 0.3750 0.7500
Ga 0.2500 0.3750 0.1250
Ga 0.2500 0.8750 0.6250
Ga 0.3750 0.1250 0.2500
Ga 0.3750 0.7500 0.1250
Ga 0.6250 0.2500 0.8750
Ga 0.6250 0.8750 0.7500
Ga 0.7500 0.1250 0.3750
Ga 0.7500 0.6250 0.8750
Ga 0.8750 0.6250 0.2500
Ga 0.8750 0.7500 0.6250
As 0.0000 0.0000 0.0000
As 0.0000 0.0000 0.5000
As 0.0000 0.5000 0.0000
As 0.0000 0.5000 0.5000
As 0.1250 0.7500 0.8750
As 0.1250 0.8750 0.2500
As 0.2500 0.1250 0.8750
As 0.2500 0.6250 0.3750
As 0.3750 0.2500 0.6250
As 0.3750 0.6250 0.7500
As 0.5000 0.0000 0.0000
As 0.5000 0.0000 0.5000
As 0.5000 0.5000 0.0000
As 0.5000 0.5000 0.5000
As 0.6250 0.3750 0.2500
As 0.6250 0.7500 0.3750
As 0.7500 0.3750 0.6250
As 0.7500 0.8750 0.1250
As 0.8750 0.1250 0.7500
As 0.8750 0.2500 0.1250
! Symmetry: Ia-3d
! DOS(E_F), states/eV/cell: 47.89
! Energy of formation from the pure elements, meV/atom: -599